No. 1
# Pm4Ag3Hg2

A relaxed structure of Pm4Ag3Hg2 (PBE, the Alexandria database).

a = 5.047 Å, b = 5.681 Å, c = 9.200 Å
α = 81.40°, β = 90.00°, γ = 63.63°
Positions (direct):
Pm 0.646 0.707 0.903
Pm 0.068 0.864 0.342
Pm 0.932 0.136 0.658
Pm 0.354 0.293 0.097
Ag 0.369 0.262 0.436
Ag 0.000 0.000 0.000
Ag 0.631 0.738 0.564
Hg 0.254 0.492 0.731
Hg 0.746 0.508 0.269

Calculated values
Theoretical density in g/cm3: 9.30
Final energy in eV/atom: -3.421
Symmetry: No. 12
Fermi-level density of states in states/eV/f.u.: 8.244

---

No. 2
# CaMg2Zr

A relaxed structure of CaMg2Zr (PBE, the Alexandria database).

a = 3.243 Å, b = 4.823 Å, c = 6.624 Å
α = 90.00°, β = 90.00°, γ = 90.00°
Positions (direct):
Ca 0.500 0.500 0.754
Mg 0.000 0.000 0.009
Mg 0.500 0.500 0.264
Zr 0.000 0.000 0.473

Calculated values
Theoretical density in g/cm3: 2.88
Final energy in eV/atom: -3.249
Symmetry: No. 25
Fermi-level density of states in states/eV/f.u.: 3.992